## Be2CdNi (GGA-PBE)

Data for a relaxed Be2CdNi crystal.

As for the space-group type: No. 216. The value obtained for the total energy is -13.09 eV per cell. As for the spin magnetization: 0.00 μB per formula unit.

Unit cell a=4.0885 b=4.0885 c=4.0885 alpha=60.00 beta=60.00 gamma=60.00
Last column: nearest neighbours and their distance in Å.
Atoms (fractional coordinates):
Be: 0.5000 0.5000 0.5000  4 Cd 2.50, 4 Be 2.50
Be: 0.7500 0.7500 0.7500  4 Ni 2.50, 4 Be 2.50
Cd: 0.2500 0.2500 0.2500  4 Ni 2.50, 4 Be 2.50
Ni: 0.0000 0.0000 0.0000  4 Cd 2.50, 4 Be 2.50



## BeCdNi (GGA-PBE)

Data for a relaxed BeCdNi crystal.

As for the space-group type: No. 216. As for the spin magnetization: 0.00 μB per formula unit. The calculation puts the excess energy over the best structure of this formula in the dataset at 0.0000 eV/atom.

Unit cell a=4.0256 b=4.0256 c=4.0256 alpha=60.00 beta=60.00 gamma=60.00
Last column: nearest neighbours and their distance in Å.
Atoms (fractional coordinates):
Cd: 0.7500 0.7500 0.7500  4 Ni 2.47
Be: 0.2500 0.2500 0.2500  4 Ni 2.47
Ni: 0.0000 0.0000 0.0000  4 Cd 2.47, 4 Be 2.47



## BeCdNi (GGA-PBE)

Data for a relaxed BeCdNi crystal.

As for the space-group type: No. 216. As for the spin magnetization: 0.01 μB per formula unit. The calculation puts the excess energy over the best structure of this formula in the dataset at 0.2635 eV/atom.

Unit cell a=4.0573 b=4.0573 c=4.0573 alpha=60.00 beta=60.00 gamma=60.00
Last column: nearest neighbours and their distance in Å.
Atoms (fractional coordinates):
Be: 0.2500 0.2500 0.2500  4 Cd 2.48
Ni: 0.7500 0.7500 0.7500  4 Cd 2.48
Cd: 0.0000 0.0000 0.0000  4 Ni 2.48, 4 Be 2.48



## Be2CdNi (GGA-PBE)

Data for a relaxed Be2CdNi crystal.

As for the space-group type: No. 216. The value obtained for the total energy is -13.09 eV per cell. As for the spin magnetization: 0.00 μB per formula unit.

Unit cell a=4.0848 b=4.0848 c=4.0848 alpha=60.00 beta=60.00 gamma=60.00
Last column: nearest neighbours and their distance in Å.
Atoms (fractional coordinates):
Be: 0.5000 0.5000 0.5000  4 Be 2.50, 4 Cd 2.50
Be: 0.2500 0.2500 0.2500  4 Be 2.50, 4 Ni 2.50
Ni: 0.0000 0.0000 0.0000  4 Cd 2.50, 4 Be 2.50
Cd: 0.7500 0.7500 0.7500  4 Ni 2.50, 4 Be 2.50



## BeCdNiPb (GGA-PBE)

Data for a relaxed BeCdNiPb crystal.

As for the space-group type: No. 216. As for the spin magnetization: 0.00 μB per formula unit. The calculation puts the excess energy over the best structure of this formula in the dataset at 0.1176 eV/atom.

Unit cell a=4.6509 b=4.6509 c=4.6509 alpha=60.00 beta=60.00 gamma=60.00
Last column: nearest neighbours and their distance in Å.
Atoms (fractional coordinates):
Be: 0.7500 0.7500 0.7500  4 Ni 2.85, 4 Cd 2.85
Cd: 0.0000 0.0000 0.0000  4 Pb 2.85, 4 Be 2.85
Ni: 0.5000 0.5000 0.5000  4 Be 2.85, 4 Pb 2.85
Pb: 0.2500 0.2500 0.2500  4 Cd 2.85, 4 Ni 2.85



## BeCdNiPb (GGA-PBE)

Data for a relaxed BeCdNiPb crystal.

As for the space-group type: No. 216. As for the spin magnetization: 0.00 μB per formula unit. The calculation puts the excess energy over the best structure of this formula in the dataset at 0.0000 eV/atom.

Unit cell a=4.5947 b=4.5947 c=4.5947 alpha=60.00 beta=60.00 gamma=60.00
Last column: nearest neighbours and their distance in Å.
Atoms (fractional coordinates):
Ni: 0.7500 0.7500 0.7500  4 Cd 2.81, 4 Pb 2.81
Be: 0.2500 0.2500 0.2500  4 Pb 2.81, 4 Cd 2.81
Pb: 0.0000 0.0000 0.0000  4 Be 2.81, 4 Ni 2.81
Cd: 0.5000 0.5000 0.5000  4 Ni 2.81, 4 Be 2.81



## BeCdSiNi (GGA-PBE)

Data for a relaxed BeCdSiNi crystal.

As for the space-group type: No. 216. As for the spin magnetization: 0.00 μB per formula unit. The calculation puts the excess energy over the best structure of this formula in the dataset at 0.0000 eV/atom.

Unit cell a=4.2332 b=4.2332 c=4.2332 alpha=60.00 beta=60.00 gamma=60.00
Last column: nearest neighbours and their distance in Å.
Atoms (fractional coordinates):
Cd: 0.5000 0.5000 0.5000  4 Be 2.59, 4 Ni 2.59
Be: 0.7500 0.7500 0.7500  4 Cd 2.59, 4 Si 2.59
Si: 0.0000 0.0000 0.0000  4 Ni 2.59, 4 Be 2.59
Ni: 0.2500 0.2500 0.2500  4 Si 2.59, 4 Cd 2.59



## BeCdSiNi (GGA-PBE)

Data for a relaxed BeCdSiNi crystal.

As for the space-group type: No. 216. As for the spin magnetization: 0.00 μB per formula unit. The calculation puts the excess energy over the best structure of this formula in the dataset at 0.0447 eV/atom.

Unit cell a=4.2279 b=4.2279 c=4.2279 alpha=60.00 beta=60.00 gamma=60.00
Last column: nearest neighbours and their distance in Å.
Atoms (fractional coordinates):
Cd: 0.0000 0.0000 0.0000  4 Be 2.59, 4 Si 2.59
Be: 0.7500 0.7500 0.7500  4 Cd 2.59, 4 Ni 2.59
Si: 0.2500 0.2500 0.2500  4 Cd 2.59, 4 Ni 2.59
Ni: 0.5000 0.5000 0.5000  4 Si 2.59, 4 Be 2.59



## BeCdSiNi (GGA-PBE)

Data for a relaxed BeCdSiNi crystal.

As for the space-group type: No. 216. As for the spin magnetization: 0.00 μB per formula unit. The calculation puts the excess energy over the best structure of this formula in the dataset at 0.1618 eV/atom.

Unit cell a=4.2901 b=4.2901 c=4.2901 alpha=60.00 beta=60.00 gamma=60.00
Last column: nearest neighbours and their distance in Å.
Atoms (fractional coordinates):
Si: 0.0000 0.0000 0.0000  4 Cd 2.63, 4 Be 2.63
Be: 0.7500 0.7500 0.7500  4 Ni 2.63, 4 Si 2.63
Cd: 0.2500 0.2500 0.2500  4 Si 2.63, 4 Ni 2.63
Ni: 0.5000 0.5000 0.5000  4 Cd 2.63, 4 Be 2.63



## BeCd2O4 (GGA-PBE)

Data for a relaxed BeCd2O4 crystal.

As for the space-group type: No. 227. The value obtained for the total energy is -63.93 eV per cell.

Unit cell a=6.0881 b=6.0881 c=6.0881 alpha=120.00 beta=90.01 gamma=120.00
Last column: nearest neighbours and their distance in Å.
Atoms (fractional coordinates):
O: 0.6374 0.7253 0.3627  1 Be 1.68
O: 0.1126 0.2253 0.3380  1 Be 1.68
O: 0.6620 0.7747 0.8874  1 Be 1.68
O: 0.6373 0.2747 0.3626  1 Be 1.68
O: 0.1126 0.7747 0.8873  1 Be 1.68
O: 0.6374 0.2747 0.9120  1 Be 1.68
O: 0.1127 0.2253 0.8874  1 Be 1.68
O: 0.0880 0.7253 0.3626  1 Be 1.68
Cd: 0.3750 0.7500 0.1250  6 O 2.26
Cd: 0.3750 0.2500 0.6250  6 O 2.26
Cd: 0.8750 0.2500 0.6250  6 O 2.26
Cd: 0.3750 0.7500 0.6250  6 O 2.26
Be: 0.7500 0.5000 0.2500  4 O 1.68
Be: 0.0000 0.0000 0.0000  4 O 1.68



## BeCdSeO (GGA-PBE)

Data for a relaxed BeCdSeO crystal.

As for the space-group type: No. 129. The calculation puts the excess energy over the best structure of this formula in the dataset at 1.1543 eV/atom.

Unit cell a=3.8138 b=3.8138 c=10.1767 alpha=90.00 beta=90.00 gamma=90.00
Last column: nearest neighbours and their distance in Å.
Atoms (fractional coordinates):
Se: 0.7500 0.7500 0.8712  1 Be 2.19
Se: 0.2500 0.2500 0.1288  1 Be 2.19
O: 0.7500 0.2500 0.5000  4 Cd 2.17
O: 0.2500 0.7500 0.5000  4 Cd 2.17
Cd: 0.7500 0.7500 0.6014  4 O 2.17
Cd: 0.2500 0.2500 0.3986  4 O 2.17
Be: 0.7500 0.7500 0.0862  1 Se 2.19
Be: 0.2500 0.2500 0.9138  1 Se 2.19



## BeCdSeO (GGA-PBE)

Data for a relaxed BeCdSeO crystal.

As for the space-group type: No. 19. The calculation puts the excess energy over the best structure of this formula in the dataset at 0.0884 eV/atom.

Unit cell a=4.9871 b=7.7217 c=7.4587 alpha=90.00 beta=90.00 gamma=90.00
Last column: nearest neighbours and their distance in Å.
Atoms (fractional coordinates):
Cd: 0.1840 0.3960 0.6838  1 O 2.24
Cd: 0.3160 0.6040 0.1838  1 O 2.24
Cd: 0.8160 0.8960 0.8162  1 O 2.24
Cd: 0.6840 0.1040 0.3162  1 O 2.24
Se: 0.5408 0.5787 0.8704  1 Be 2.27
Se: 0.9592 0.4213 0.3704  1 Be 2.27
Se: 0.4592 0.0787 0.6296  1 Be 2.27
Se: 0.0408 0.9213 0.1296  1 Be 2.27
Be: 0.7955 0.6792 0.4684  2 O 1.50-1.52
Be: 0.2045 0.1792 0.0316  2 O 1.50-1.52
Be: 0.2955 0.8208 0.5316  2 O 1.50-1.52
Be: 0.7045 0.3208 0.9684  2 O 1.50-1.52
O: 0.0077 0.7779 0.5729  2 Be 1.50-1.52
O: 0.4923 0.2221 0.0729  2 Be 1.50-1.52
O: 0.5077 0.7221 0.4271  2 Be 1.50-1.52
O: 0.9923 0.2779 0.9271  2 Be 1.50-1.52